Record 1
The following is a PBE-GGA calculation of an optimized crystal structure of KHg2SbPd, from Alexandria via LeMat-Bulk.

Cell: 5.3582 5.3582 5.2832 Å, 90.00 90.00 90.00°
Atoms (fractional coordinates):
K: 0.0000 0.0000 0.0000
Hg: 0.0000 0.5000 0.5000
Hg: 0.5000 0.0000 0.5000
Sb: 0.5000 0.5000 0.0000
Pd: 0.5000 0.5000 0.5000

## Properties
density of states at the Fermi level: 2.7 states/eV/cell
calculated volume: 151.7 Å³/cell
final energy: -2.3826 eV/atom
formation energy without anion corrections: -0.18 eV/atom
symmetry: P4/mmm, No. 123
energy above the lowest structure with this stoichiometry: 0.000 kcal/mol of atoms

Record 2
The following is a PBE-GGA calculation of an optimized crystal structure of Na2YAgSb, from Alexandria via LeMat-Bulk.

Cell: 6.0328 6.0328 5.2722 Å, 90.00 90.00 90.00°
Atoms (fractional coordinates):
Na: 0.0000 0.5000 0.0000
Na: 0.5000 0.0000 0.0000
Y: 0.0000 0.0000 0.0000
Ag: 0.0000 0.0000 0.5000
Sb: 0.5000 0.5000 0.5000

## Properties
density of states at the Fermi level: 4.2 states/eV/cell
calculated volume: 191.9 Å³/cell
final energy: -2.2758 eV/atom
formation energy without anion corrections: 0.94 eV/atom
symmetry: P4/mmm, No. 123

Record 3
The following is a PBE-GGA calculation of an optimized crystal structure of Tb2Ge3SbRh4, from Alexandria via LeMat-Bulk.

Cell: 4.2213 4.2213 10.5109 Å, 90.00 90.00 90.00°
Atoms (fractional coordinates):
Tb: 0.0000 0.5000 0.2409
Tb: 0.5000 0.0000 0.7591
Ge: 0.0000 0.5000 0.8735
Ge: 0.5000 0.0000 0.1265
Ge: 0.5000 0.5000 0.5000
Sb: 0.0000 0.0000 0.5000
Rh: 0.0000 0.0000 0.0000
Rh: 0.0000 0.5000 0.6432
Rh: 0.5000 0.0000 0.3568
Rh: 0.5000 0.5000 0.0000

## Properties
density of states at the Fermi level: 5.0 states/eV/cell
calculated volume: 187.3 Å³/cell
final energy: -6.4779 eV/atom
formation energy without anion corrections: -0.81 eV/atom
symmetry: P-4m2, No. 115